Entry 1:
PBE-GGA Li2La3Te2Se4, optimized geometry; symmetry = I4/mmm, No. 139; E_form (uncorrected) = -1.5125 eV/atom
1.0
-2.419 2.419 12.461
2.419 -2.419 12.461
2.419 2.419 -12.461
Li La Te Se
2 3 2 4
Direct
0.099 0.099 0.000 Li
0.901 0.901 0.000 Li
0.337 0.337 0.000 La
0.500 0.500 0.000 La
0.663 0.663 0.000 La
0.207 0.207 0.000 Te
0.793 0.793 0.000 Te
0.078 0.578 0.500 Se
0.422 0.922 0.500 Se
0.578 0.078 0.500 Se
0.922 0.422 0.500 Se

***

Entry 2:
PBE-GGA NbGeI2N, optimized geometry; excess energy over the best structure of this formula in the dataset = 659 meV per atom; symmetry = P4/mmm, No. 123; E_form (uncorrected) = 0.9721 eV/atom
1.0
5.831 0.000 0.000
0.000 5.831 0.000
0.000 0.000 3.542
Nb Ge I N
1 1 2 1
Direct
0.000 0.000 0.000 Nb
0.500 0.500 0.500 Ge
0.000 0.500 0.500 I
0.500 0.000 0.500 I
0.500 0.500 0.000 N

***

Entry 3:
PBE-GGA AlZnRe2Au, optimized geometry; energy of formation = 1.613 eV/atom; symmetry = P4/mmm, No. 123
1.0
4.572 0.000 0.000
0.000 4.572 0.000
0.000 0.000 4.319
Al Zn Re Au
1 1 2 1
Direct
0.000 0.000 0.000 Al
0.000 0.000 0.500 Zn
0.000 0.500 0.500 Re
0.500 0.000 0.500 Re
0.500 0.500 0.000 Au

***

Entry 4:
PBE-GGA Li4Zn2Pt3, optimized geometry; energy of formation = -0.554 eV/atom; symmetry = Cccm, No. 66
1.0
3.604 -6.244 0.000
3.604 6.244 0.000
0.000 0.000 5.473
Li Zn Pt
8 4 6
Direct
0.154 0.167 0.000 Li
0.163 0.495 0.000 Li
0.167 0.154 0.500 Li
0.495 0.163 0.500 Li
0.505 0.837 0.500 Li
0.833 0.846 0.500 Li
0.837 0.505 0.000 Li
0.846 0.833 0.000 Li
0.170 0.490 0.500 Zn
0.490 0.170 0.000 Zn
0.510 0.830 0.000 Zn
0.830 0.510 0.500 Zn
0.173 0.827 0.250 Pt
0.173 0.827 0.750 Pt
0.500 0.500 0.250 Pt
0.500 0.500 0.750 Pt
0.827 0.173 0.250 Pt
0.827 0.173 0.750 Pt

***

Entry 5:
PBE-GGA Tc2PtSe, optimized geometry; symmetry = R-3m, No. 166; E_form (uncorrected) = 0.1920 eV/atom
1.0
1.449 0.836 8.369
-1.449 0.836 8.369
0.000 -1.673 8.369
Tc Pt Se
2 1 1
Direct
0.245 0.245 0.245 Tc
0.755 0.755 0.755 Tc
0.000 0.000 0.000 Pt
0.500 0.500 0.500 Se

***

Entry 6:
PBE-GGA RbZnP, optimized geometry; energy of formation = -0.316 eV/atom; symmetry = Cmcm, No. 63
1.0
2.709 -7.532 0.000
2.709 7.532 0.000
0.000 0.000 5.315
Rb Zn P
2 2 2
Direct
0.152 0.848 0.750 Rb
0.848 0.152 0.250 Rb
0.500 0.500 0.000 Zn
0.500 0.500 0.500 Zn
0.381 0.619 0.750 P
0.619 0.381 0.250 P